(1)
{
  "formula": "Ce2HoTi",
  "functional": "PBE",
  "state": "optimized geometry",
  "dos_ef_per_ev_atom": 2.518,
  "formation_energy_ev_per_atom": 0.181,
  "e_above_lowest_polymorph_kj_per_mol_atoms": 0.0,
  "cell": [[-2.740, -0.859, 1.510], [1.046, -3.067, 0.153], [4.178, 1.854, 8.635]],
  "species": ["Ho", "Ce", "Ti", "Ce"],
  "frac_coords": [[0.500, 0.500, 0.500], [0.000, 0.000, 0.774], [0.500, 0.500, 0.000], [0.000, 0.000, 0.226]]
}

***

(2)
{
  "formula": "CaScAl",
  "functional": "PBE",
  "state": "optimized geometry",
  "dos_ef_per_ev_atom": 1.089,
  "formation_energy_ev_per_atom": -0.101,
  "e_above_lowest_polymorph_kj_per_mol_atoms": 7.9,
  "cell": [[6.388, -0.025, 0.000], [-2.800, 5.310, 0.000], [0.000, 0.000, 4.825]],
  "species": ["Sc", "Al", "Ca", "Ca", "Sc", "Al"],
  "frac_coords": [[0.885, 0.918, 0.671], [0.717, 0.606, 0.171], [0.288, 0.544, 0.671], [0.288, 0.016, 0.171], [0.691, 0.321, 0.671], [0.859, 0.177, 0.171]]
}

***

(3)
{
  "formula": "Ac2La2Ge3",
  "functional": "PBE",
  "state": "optimized geometry",
  "dos_ef_per_ev_atom": 0.629,
  "formation_energy_ev_per_atom": -0.583,
  "cell": [[-3.589, -0.858, -2.409], [-1.989, -0.956, 7.352], [-1.377, 7.848, -0.773]],
  "species": ["Ge", "Ge", "Ac", "Ac", "La", "La", "Ge"],
  "frac_coords": [[0.241, 0.479, 0.748], [0.000, 0.000, 0.000], [0.129, 0.263, 0.364], [0.871, 0.737, 0.636], [0.630, 0.259, 0.896], [0.370, 0.741, 0.104], [0.759, 0.521, 0.252]]
}